1.
Density functional theory data (GGA-PBE) for an optimized crystal structure of La6Tb2NdMg.

## Properties
formation energy from the elements: 87 meV/atom

Lattice parameters (Å, degrees): 8.7431 8.7431 9.5194 95.83 95.83 104.71
Element x y z (fractional)
La 0.0438 0.4650 0.6709
La 0.0618 0.8228 0.9011
La 0.1772 0.9382 0.5989
La 0.2405 0.5794 0.0819
La 0.4206 0.7595 0.4181
La 0.4650 0.0438 0.1709
La 0.5350 0.9562 0.8291
La 0.5794 0.2405 0.5819
La 0.7595 0.4206 0.9181
La 0.8228 0.0618 0.4011
La 0.9382 0.1772 0.0989
La 0.9562 0.5350 0.3291
Tb 0.2354 0.3006 0.4037
Tb 0.3006 0.2354 0.9037
Tb 0.6994 0.7646 0.0963
Tb 0.7646 0.6994 0.5963
Nd 0.4298 0.5702 0.7500
Nd 0.5702 0.4298 0.2500
Mg 0.0967 0.9033 0.2500
Mg 0.9033 0.0967 0.7500

=====

2.
Density functional theory data (GGA-PBE) for an optimized crystal structure of TiHgTe2N.

## Properties
energy relative to the lowest polymorph listed for this composition: 0.000 eV/atom
energy relative to the elements, uncorrected: 0.0001 eV per atom

Lattice parameters (Å, degrees): 5.6704 5.6704 3.7297 90.00 90.00 90.00
Element x y z (fractional)
Ti 0.0000 0.0000 0.0000
Hg 0.5000 0.5000 0.5000
Te 0.0000 0.5000 0.0000
Te 0.5000 0.0000 0.0000
N 0.0000 0.0000 0.5000

=====

3.
Density functional theory data (GGA-PBE) for an optimized crystal structure of Y2Zn2SnPd5.

## Properties
formation energy from the elements: -721 meV/atom

Lattice parameters (Å, degrees): 9.7685 9.7685 3.8201 90.00 90.00 90.00
Element x y z (fractional)
Y 0.1769 0.3231 0.0000
Y 0.3231 0.8231 0.0000
Y 0.6769 0.1769 0.0000
Y 0.8231 0.6769 0.0000
Zn 0.1194 0.6194 0.0000
Zn 0.3806 0.1194 0.0000
Zn 0.6194 0.8806 0.0000
Zn 0.8806 0.3806 0.0000
Sn 0.0000 0.0000 0.0000
Sn 0.5000 0.5000 0.0000
Pd 0.0000 0.5000 0.5000
Pd 0.0678 0.7918 0.5000
Pd 0.2082 0.0678 0.5000
Pd 0.2918 0.5678 0.5000
Pd 0.4322 0.2918 0.5000
Pd 0.5000 0.0000 0.5000
Pd 0.5678 0.7082 0.5000
Pd 0.7082 0.4322 0.5000
Pd 0.7918 0.9322 0.5000
Pd 0.9322 0.2082 0.5000

=====

4.
Density functional theory data (GGA-PBE) for an optimized crystal structure of ScAgPCl2.

## Properties
energy relative to the lowest polymorph listed for this composition: 0.000 eV/atom
energy relative to the elements, uncorrected: -0.5852 eV per atom

Lattice parameters (Å, degrees): 4.8508 4.8508 5.3940 90.00 90.00 90.00
Element x y z (fractional)
Sc 0.0000 0.0000 0.0000
Ag 0.5000 0.5000 0.5000
P 0.0000 0.0000 0.5000
Cl 0.0000 0.5000 0.0000
Cl 0.5000 0.0000 0.0000

=====

5.
Density functional theory data (GGA-PBE) for an optimized crystal structure of La2ScAgSe5.

## Properties
energy relative to the elements, uncorrected: -1.5978 eV per atom

Lattice parameters (Å, degrees): 9.0010 9.0010 12.4285 90.00 90.00 153.34
Element x y z (fractional)
La 0.1112 0.8888 0.5000
La 0.1274 0.8726 0.1208
La 0.8726 0.1274 0.6208
La 0.8888 0.1112 0.0000
Sc 0.1946 0.8054 0.8248
Sc 0.8054 0.1946 0.3248
Ag 0.4411 0.5589 0.2666
Ag 0.5589 0.4411 0.7666
Se 0.0510 0.9490 0.8867
Se 0.2864 0.7136 0.4731
Se 0.3030 0.6970 0.1671
Se 0.3534 0.6466 0.8148
Se 0.4959 0.5041 0.5813
Se 0.5041 0.4959 0.0813
Se 0.6466 0.3534 0.3148
Se 0.6970 0.3030 0.6671
Se 0.7136 0.2864 0.9731
Se 0.9490 0.0510 0.3867

=====

6.
Density functional theory data (GGA-PBE) for an optimized crystal structure of ZrGeHRu2.

## Properties
energy: -7.30 eV/atom

Lattice parameters (Å, degrees): 4.1051 4.1051 3.9200 90.00 90.00 90.00
Element x y z (fractional)
Zr 0.0000 0.0000 0.0000
Ge 0.5000 0.5000 0.0000
H 0.0000 0.0000 0.5000
Ru 0.0000 0.5000 0.5000
Ru 0.5000 0.0000 0.5000

=====

7.
Density functional theory data (GGA-PBE) for an optimized crystal structure of AsHSe2.

## Properties
energy relative to the lowest polymorph listed for this composition: 0.455 eV/atom

Lattice parameters (Å, degrees): 5.6358 5.6358 10.5504 90.00 90.00 90.00
Element x y z (fractional)
As 0.0000 0.0000 0.0000
As 0.0000 0.5000 0.2500
As 0.5000 0.0000 0.7500
As 0.5000 0.5000 0.5000
H 0.0000 0.0000 0.5000
H 0.0000 0.5000 0.7500
H 0.5000 0.0000 0.2500
H 0.5000 0.5000 0.0000
Se 0.1823 0.2500 0.6250
Se 0.2500 0.6823 0.8750
Se 0.2500 0.8177 0.3750
Se 0.3177 0.2500 0.1250
Se 0.6823 0.7500 0.1250
Se 0.7500 0.1823 0.3750
Se 0.7500 0.3177 0.8750
Se 0.8177 0.7500 0.6250

=====

8.
Density functional theory data (GGA-PBE) for an optimized crystal structure of AcGa2Sn.

## Properties
energy relative to the lowest polymorph listed for this composition: 0.175 eV/atom
formation energy from the elements: -305 meV/atom

Lattice parameters (Å, degrees): 4.5800 12.3327 8.0371 90.00 90.00 90.00
Element x y z (fractional)
Ac 0.0000 0.0866 0.2500
Ac 0.0000 0.9134 0.7500
Ac 0.5000 0.4134 0.7500
Ac 0.5000 0.5866 0.2500
Ga 0.0000 0.2317 0.5879
Ga 0.0000 0.2317 0.9121
Ga 0.0000 0.7683 0.0879
Ga 0.0000 0.7683 0.4121
Ga 0.5000 0.2683 0.0879
Ga 0.5000 0.2683 0.4121
Ga 0.5000 0.7317 0.5879
Ga 0.5000 0.7317 0.9121
Sn 0.0000 0.3819 0.2500
Sn 0.0000 0.6181 0.7500
Sn 0.5000 0.1181 0.7500
Sn 0.5000 0.8819 0.2500